No. 1
Compound: CaTc3Ni
Source: Alexandria
Functional: PBEsol
Structure: relaxed

## Properties
As for the formation enthalpy at 0 K: 1.302 eV/atom.

```
data_CaTc3Ni
_cell_length_a 4.4773
_cell_length_b 4.4773
_cell_length_c 4.4773
_cell_angle_alpha 90.00
_cell_angle_beta 90.00
_cell_angle_gamma 90.00
_space_group_name_H-M_alt 'P m -3 m'
_space_group_IT_number 221
_space_group_name_Hall '-P 4 2 3'
loop_
_atom_site_label
_atom_site_type_symbol
_atom_site_fract_x
_atom_site_fract_y
_atom_site_fract_z
Ca1 Ca 0.0000 0.0000 0.0000
Tc1 Tc 0.0000 0.5000 0.5000
Ni1 Ni 0.5000 0.5000 0.5000
```

No. 2
Compound: LaAlRu2
Source: Alexandria
Functional: PBEsol
Structure: relaxed

## Properties
As for the formation enthalpy at 0 K: 0.069 eV/atom.

```
data_LaAlRu2
_cell_length_a 6.0729
_cell_length_b 8.5462
_cell_length_c 2.9410
_cell_angle_alpha 90.00
_cell_angle_beta 116.74
_cell_angle_gamma 90.00
_space_group_name_H-M_alt 'C 1 2/m 1'
_space_group_IT_number 12
loop_
_space_group_symop_operation_xyz
'x,y,z'
'-x,-y,-z'
'-x,y,-z'
'x,-y,z'
'x+1/2,y+1/2,z'
'-x+1/2,-y+1/2,-z'
'-x+1/2,y+1/2,-z'
'x+1/2,-y+1/2,z'
loop_
_atom_site_label
_atom_site_type_symbol
_atom_site_fract_x
_atom_site_fract_y
_atom_site_fract_z
La1 La 0.0000 0.0000 0.0000
Al1 Al 0.0000 0.5000 0.0000
Ru1 Ru 0.2500 0.2500 0.5000
```

No. 3
Compound: SrYRe2
Source: Alexandria
Functional: PBEsol
Structure: relaxed

## Properties
For the distance to the lowest polymorph of the same formula, the calculation gives 0.00 kcal/mol of atoms. As for the formation enthalpy at 0 K: 0.744 eV/atom.

```
data_SrYRe2
_cell_length_a 3.0926
_cell_length_b 4.6061
_cell_length_c 6.6279
_cell_angle_alpha 90.00
_cell_angle_beta 90.56
_cell_angle_gamma 90.00
_space_group_name_H-M_alt 'P 1 2/m 1'
_space_group_IT_number 10
loop_
_space_group_symop_operation_xyz
'x,y,z'
'-x,-y,-z'
'-x,y,-z'
'x,-y,z'
loop_
_atom_site_label
_atom_site_type_symbol
_atom_site_fract_x
_atom_site_fract_y
_atom_site_fract_z
Sr1 Sr 0.0000 0.0000 0.0000
Y1 Y 0.0000 0.0000 0.5000
Re1 Re 0.4970 0.5000 0.3279
```

No. 4
Compound: InHg3
Source: Alexandria
Functional: PBEsol
Structure: relaxed

## Properties
As for the formation enthalpy at 0 K: -0.014 eV/atom.

```
data_InHg3
_cell_length_a 6.8868
_cell_length_b 10.9620
_cell_length_c 5.0570
_cell_angle_alpha 90.00
_cell_angle_beta 90.00
_cell_angle_gamma 90.00
_space_group_name_H-M_alt 'C m c m'
_space_group_IT_number 63
_space_group_name_Hall '-C 2c 2'
loop_
_atom_site_label
_atom_site_type_symbol
_atom_site_fract_x
_atom_site_fract_y
_atom_site_fract_z
In1 In 0.0000 0.1540 0.2500
Hg1 Hg 0.0000 0.3374 0.7500
Hg2 Hg 0.2417 0.4090 0.2500
```